PBE CdCu12Pt6, relaxed; DFT total energy = -4.44 eV per atom; theoretical density = 11.71 g/cm³; energy of formation = 0.1053 eV/atom
1.0
6.9662 -0.0930 -0.1310
-1.8169 6.7257 -0.1310
-1.8169 -2.3404 6.3068
Cd Cu Pt
1 12 6
direct
0.0000 0.0000 0.0000 Cd
0.8905 0.1095 0.5000 Cu
0.8969 0.6537 0.6537 Cu
0.6537 0.6537 0.8969 Cu
0.3463 0.1031 0.3463 Cu
0.3463 0.3463 0.1031 Cu
0.1031 0.3463 0.3463 Cu
0.1095 0.5000 0.8905 Cu
0.5000 0.8905 0.1095 Cu
0.1095 0.8905 0.5000 Cu
0.8905 0.5000 0.1095 Cu
0.5000 0.1095 0.8905 Cu
0.6537 0.8969 0.6537 Cu
0.6946 0.3023 0.3023 Pt
0.3023 0.3023 0.6946 Pt
0.3023 0.6946 0.3023 Pt
0.6977 0.6977 0.3054 Pt
0.3054 0.6977 0.6977 Pt
0.6977 0.3054 0.6977 Pt

=====

PBE BaTe2W, relaxed; DFT total energy = -5.24 eV per atom; theoretical density = 5.99 g/cm³; energy relative to the lowest polymorph listed for this composition = 276 meV per atom; ΔE_f (raw) = 0.05 eV per atom
1.0
6.6963 0.0000 0.0000
0.0000 6.6963 0.0000
3.3481 3.3481 7.1239
Te Ba W
4 2 2
direct
0.7322 0.1250 0.2500 Te
0.0178 0.6250 0.2500 Te
0.3750 0.2678 0.7500 Te
0.8750 0.9822 0.7500 Te
0.5000 0.5000 0.0000 Ba
0.2500 0.7500 0.5000 Ba
0.0000 0.0000 0.0000 W
0.7500 0.2500 0.5000 W

=====

PBE TiF2, relaxed; DFT total energy = -6.60 eV per atom; theoretical density = 4.09 g/cm³; ΔE_f (raw) = -2.72 eV per atom
1.0
3.6679 0.0000 0.0000
1.8339 3.1765 0.0000
1.8339 1.0588 2.9948
F Ti
2 1
direct
0.2500 0.2500 0.2500 F
0.7500 0.7500 0.7500 F
0.0000 0.0000 0.0000 Ti

=====

PBE NpScTl2Te4, relaxed; DFT total energy = -5.30 eV per atom; theoretical density = 7.37 g/cm³; ΔE_f (raw) = -0.73 eV per atom
1.0
-1.6383 -0.2378 4.0434
-5.6921 -4.3553 -2.5625
6.3346 -5.2303 2.2590
Np Sc Tl Te
1 1 2 4
direct
0.5000 0.5000 0.0000 Np
0.0000 0.0000 0.0000 Sc
0.5000 0.0000 0.5000 Tl
0.0000 0.5000 0.5000 Tl
0.5000 0.2217 0.2053 Te
0.5000 0.7783 0.7947 Te
0.0000 0.2499 0.7883 Te
0.0000 0.7501 0.2117 Te

=====

PBE AcInPd, relaxed; DFT total energy = -4.68 eV per atom; theoretical density = 9.38 g/cm³; energy of formation = -0.6693 eV/atom; energy relative to the lowest polymorph listed for this composition = 72 meV per atom
1.0
-2.1757 0.6140 4.1020
0.9565 -5.7480 -1.2867
5.4605 0.2687 2.8562
Pd In Ac
2 2 2
direct
0.5936 0.1888 0.2502 Pd
0.4064 0.8112 0.7498 Pd
0.0000 0.0000 0.5000 In
0.0000 0.0000 0.0000 In
0.2994 0.5976 0.2500 Ac
0.7006 0.4024 0.7500 Ac

=====

PBE V4PS, relaxed; DFT total energy = -7.99 eV per atom; theoretical density = 5.22 g/cm³; ΔE_f (raw) = -0.32 eV per atom
1.0
-0.8438 3.1807 4.1134
1.4549 -4.0175 3.3959
5.4025 1.9581 -3.7705
V P S
8 2 2
direct
0.5033 0.0251 0.8293 V
0.6745 0.4740 0.1702 V
0.4967 0.9749 0.1707 V
0.3255 0.5260 0.8298 V
0.9477 0.9259 0.6360 V
0.3122 0.5737 0.3637 V
0.0523 0.0741 0.3640 V
0.6878 0.4263 0.6363 V
0.8149 0.7502 0.0000 P
0.1851 0.2498 0.0000 P
0.5000 0.0000 0.5000 S
0.0000 0.5000 0.5000 S

=====

PBE Fe2Ru, relaxed; DFT total energy = -8.61 eV per atom; theoretical density = 9.85 g/cm³; energy of formation = 0.1214 eV/atom
1.0
-2.8233 -0.8307 3.6190
-3.7045 2.7351 0.7439
-4.3015 -1.6505 -0.7286
Fe Ru
4 2
direct
0.1250 0.6250 0.1250 Fe
0.1250 0.1250 0.6250 Fe
0.6250 0.1250 0.1250 Fe
0.1250 0.1250 0.1250 Fe
0.7500 0.7500 0.7500 Ru
0.5000 0.5000 0.5000 Ru

=====

PBE Pm3Ho3Au4, relaxed; DFT total energy = -4.78 eV per atom; theoretical density = 10.86 g/cm³; energy of formation = -0.6740 eV/atom
1.0
-3.8507 -0.1790 0.1457
0.4552 -3.8682 7.2758
-0.1824 7.2015 4.0264
Pm Ho Au
3 3 4
direct
0.5000 0.8386 0.1614 Pm
0.5000 0.3306 0.3384 Pm
0.5000 0.6616 0.6694 Pm
0.0000 0.4981 0.0037 Ho
0.0000 0.9963 0.5019 Ho
0.5000 0.1676 0.8324 Ho
0.0000 0.6304 0.3696 Au
0.0000 0.3632 0.6368 Au
0.0000 0.8771 0.8635 Au
0.0000 0.1365 0.1229 Au

=====

Number 3 is which compound?
TiF2